No. 1
An optimized crystal structure of U2Tl2BiSe6. Source: Alexandria, functional PBE.

Structure (POSCAR):
```
U2Tl2BiSe6
1.0
3.642 -6.301 0.000
3.642 6.301 0.000
-2.383 0.000 7.816
U Tl Bi Se
2 2 1 6
Direct
0.167 0.833 0.000
0.833 0.167 0.000
0.336 0.664 0.500
0.664 0.336 0.500
0.500 0.500 0.000
0.088 0.432 0.794
0.223 0.223 0.205
0.432 0.088 0.794
0.568 0.912 0.206
0.777 0.777 0.795
0.912 0.568 0.206
```

Summary:
* space-group type: C2/m, No. 12
* formation energy (no corrections): -0.803 eV/atom

=====

No. 2
An optimized crystal structure of Ru2PtCl. Source: Alexandria, functional PBE.

Structure (POSCAR):
```
Ru2PtCl
1.0
6.242 0.000 0.000
0.000 6.242 0.000
0.000 0.000 6.242
Ru Pt Cl
8 4 4
Direct
0.250 0.250 0.250
0.250 0.250 0.750
0.250 0.750 0.250
0.250 0.750 0.750
0.750 0.250 0.250
0.750 0.250 0.750
0.750 0.750 0.250
0.750 0.750 0.750
0.000 0.000 0.000
0.000 0.500 0.500
0.500 0.000 0.500
0.500 0.500 0.000
0.000 0.000 0.500
0.000 0.500 0.000
0.500 0.000 0.000
0.500 0.500 0.500
```

Summary:
* space-group type: Fm-3m, No. 225
* formation energy (no corrections): 0.816 eV/atom

=====

No. 3
An optimized crystal structure of NpZn3O7. Source: Alexandria, functional PBE.

Structure (POSCAR):
```
NpZn3O7
1.0
5.279 0.000 0.000
-0.806 5.299 0.000
-1.035 -1.250 5.562
Np Zn O
1 3 7
Direct
0.000 0.000 0.000
0.138 0.599 0.395
0.407 0.566 0.863
0.599 0.163 0.431
0.116 0.737 0.740
0.272 0.282 0.998
0.274 0.894 0.262
0.449 0.462 0.535
0.744 0.737 0.065
0.753 0.066 0.733
0.882 0.271 0.269
```

Summary:
* space-group type: P1, No. 1
* formation energy (no corrections): -1.635 eV/atom

=====

No. 4
An optimized crystal structure of CsScPO2. Source: Alexandria, functional PBE.

Structure (POSCAR):
```
CsScPO2
1.0
4.365 0.000 0.000
0.000 4.365 0.000
0.000 0.000 5.576
Cs Sc P O
1 1 1 2
Direct
0.000 0.000 0.000
0.500 0.500 0.500
0.000 0.000 0.500
0.000 0.500 0.000
0.500 0.000 0.000
```

Summary:
* space-group type: P4/mmm, No. 123
* formation energy (no corrections): 0.434 eV/atom

=====

No. 5
An optimized crystal structure of Cs2HoCu2Br6. Source: Alexandria, functional PBE.

Structure (POSCAR):
```
Cs2HoCu2Br6
1.0
6.824 -3.920 0.000
6.824 3.920 0.000
-4.760 0.000 7.416
Cs Ho Cu Br
2 1 2 6
Direct
0.216 0.216 0.203
0.784 0.784 0.797
0.000 0.000 0.500
0.459 0.459 0.840
0.541 0.541 0.160
0.206 0.717 0.240
0.239 0.239 0.637
0.283 0.794 0.760
0.717 0.206 0.240
0.761 0.761 0.363
0.794 0.283 0.760
```

Summary:
* space-group type: C2/m, No. 12
* formation energy (no corrections): -1.203 eV/atom

=====

No. 6
An optimized crystal structure of CrCdRh. Source: Alexandria, functional PBE.

Structure (POSCAR):
```
CrCdRh
1.0
2.813 0.000 0.000
0.000 2.813 0.000
0.000 0.000 11.705
Cr Cd Rh
2 2 2
Direct
0.250 0.250 0.073
0.750 0.750 0.927
0.250 0.250 0.389
0.750 0.750 0.611
0.250 0.250 0.793
0.750 0.750 0.207
```

Summary:
* formation energy: 0.0 eV/f.u.
* space-group type: P4/nmm, No. 129

=====

No. 7
An optimized crystal structure of ZnRe2Ru. Source: Alexandria, functional PBE.

Structure (POSCAR):
```
ZnRe2Ru
1.0
2.754 0.000 0.000
-1.377 2.385 0.000
0.000 0.000 26.723
Zn Re Ru
3 6 3
Direct
0.000 0.000 0.000
0.333 0.667 0.667
0.667 0.333 0.333
0.000 0.000 0.248
0.000 0.000 0.752
0.333 0.667 0.419
0.333 0.667 0.914
0.667 0.333 0.086
0.667 0.333 0.581
0.000 0.000 0.500
0.333 0.667 0.167
0.667 0.333 0.833
```

Summary:
* formation energy: 0.5 eV/f.u.
* space-group type: R-3m, No. 166

=====

No. 8
An optimized crystal structure of LiTl2GaCl6. Source: Alexandria, functional PBE.

Structure (POSCAR):
```
LiTl2GaCl6
1.0
7.064 0.000 0.000
-3.532 6.118 0.000
0.000 0.000 6.190
Li Tl Ga Cl
1 2 1 6
Direct
0.000 0.000 0.000
0.333 0.667 0.682
0.667 0.333 0.318
0.000 0.000 0.500
0.158 0.316 0.271
0.158 0.842 0.271
0.316 0.158 0.729
0.684 0.842 0.271
0.842 0.158 0.729
0.842 0.684 0.729
```

Summary:
* space-group type: P-3m1, No. 164
* formation energy (no corrections): -1.210 eV/atom

=====

No. 9
An optimized crystal structure of Ga2AgPd2. Source: Alexandria, functional PBE.

Structure (POSCAR):
```
Ga2AgPd2
1.0
4.025 0.000 0.000
0.000 4.025 0.000
0.000 0.000 10.904
Ga Ag Pd
4 2 4
Direct
0.000 0.000 0.112
0.000 0.000 0.888
0.500 0.500 0.388
0.500 0.500 0.612
0.000 0.000 0.500
0.500 0.500 0.000
0.000 0.500 0.250
0.000 0.500 0.750
0.500 0.000 0.250
0.500 0.000 0.750
```

Summary:
* formation energy: -1.4 eV/f.u.
* space-group type: I4/mmm, No. 139

=====

No. 10
An optimized crystal structure of PaTeRu. Source: Alexandria, functional PBE.

Structure (POSCAR):
```
PaTeRu
1.0
4.013 0.000 0.000
0.000 4.013 0.000
0.000 0.000 17.610
Pa Te Ru
4 4 4
Direct
0.000 0.000 0.106
0.000 0.000 0.894
0.500 0.500 0.394
0.500 0.500 0.606
0.000 0.000 0.312
0.000 0.000 0.688
0.500 0.500 0.188
0.500 0.500 0.812
0.000 0.500 0.000
0.000 0.500 0.500
0.500 0.000 0.000
0.500 0.000 0.500
```

Summary:
* space-group type: I4/mmm, No. 139
* formation energy (no corrections): -0.575 eV/atom

=====

No. 11
An optimized crystal structure of Li3Ag4Sb. Source: Alexandria, functional PBE.

Structure (POSCAR):
```
Li3Ag4Sb
1.0
18.593 0.000 0.000
0.000 3.271 0.000
-0.702 0.000 4.600
Li Ag Sb
6 8 2
Direct
0.000 0.000 0.000
0.130 0.000 0.579
0.370 0.500 0.421
0.500 0.500 0.000
0.630 0.500 0.579
0.870 0.000 0.421
0.121 0.500 0.068
0.247 0.000 0.247
0.253 0.500 0.753
0.379 0.000 0.932
0.621 0.000 0.068
0.747 0.500 0.247
0.753 0.000 0.753
0.879 0.500 0.932
0.000 0.500 0.500
0.500 0.000 0.500
```

Summary:
* space-group type: C2/m, No. 12
* formation energy (no corrections): -0.239 eV/atom

=====

No. 12
An optimized crystal structure of Hg3I. Source: Alexandria, functional PBE.

Structure (POSCAR):
```
Hg3I
1.0
5.709 0.000 0.000
0.000 5.709 0.000
0.000 0.000 4.427
Hg I
3 1
Direct
0.000 0.000 0.000
0.000 0.500 0.009
0.500 0.000 0.991
0.500 0.500 0.500
```

Summary:
* space-group type: P-4m2, No. 115
* formation energy (no corrections): -0.043 eV/atom

=====

No. 13
An optimized crystal structure of Er3Ni8Ir. Source: Alexandria, functional PBE.

Structure (POSCAR):
```
Er3Ni8Ir
1.0
2.477 1.430 8.101
-2.477 1.430 8.101
0.000 -2.860 8.101
Er Ni Ir
3 8 1
Direct
0.000 0.000 0.000
0.131 0.131 0.131
0.519 0.519 0.519
0.067 0.569 0.569
0.072 0.072 0.567
0.072 0.567 0.072
0.319 0.319 0.319
0.567 0.072 0.072
0.569 0.067 0.569
0.569 0.569 0.067
0.820 0.820 0.820
0.639 0.639 0.639
```

Summary:
* formation energy: -4.7 eV/f.u.
* space-group type: R3m, No. 160

=====

No. 14
An optimized crystal structure of K3Ta2SnO8. Source: Alexandria, functional PBE.

Structure (POSCAR):
```
K3Ta2SnO8
1.0
6.138 0.000 0.000
-3.069 5.316 0.000
0.000 0.000 7.753
K Ta Sn O
3 2 1 8
Direct
0.000 0.000 0.000
0.333 0.667 0.677
0.667 0.333 0.323
0.333 0.667 0.235
0.667 0.333 0.765
0.000 0.000 0.500
0.167 0.334 0.322
0.167 0.833 0.322
0.333 0.667 0.001
0.334 0.167 0.678
0.666 0.833 0.322
0.667 0.333 0.999
0.833 0.167 0.678
0.833 0.666 0.678
```

Summary:
* space-group type: P-3m1, No. 164
* formation energy (no corrections): -2.202 eV/atom

=====

No. 15
An optimized crystal structure of Cs4Pr3ScSe8. Source: Alexandria, functional PBE.

Structure (POSCAR):
```
Cs4Pr3ScSe8
1.0
4.349 2.511 8.395
-4.349 2.511 8.395
0.000 -5.021 8.395
Cs Pr Sc Se
4 3 1 8
Direct
0.000 0.000 0.000
0.000 0.500 0.500
0.500 0.000 0.500
0.500 0.500 0.000
0.000 0.000 0.500
0.000 0.500 0.000
0.500 0.000 0.000
0.500 0.500 0.500
0.231 0.231 0.231
0.247 0.719 0.719
0.281 0.281 0.753
0.281 0.753 0.281
0.719 0.247 0.719
0.719 0.719 0.247
0.753 0.281 0.281
0.769 0.769 0.769
```

Summary:
* space-group type: R-3m, No. 166
* formation energy (no corrections): -1.670 eV/atom

=====

No. 16
An optimized crystal structure of BaRhAu2. Source: Alexandria, functional PBE.

Structure (POSCAR):
```
BaRhAu2
1.0
4.021 0.000 0.000
0.000 4.974 0.000
0.000 0.000 9.204
Ba Rh Au
2 2 4
Direct
0.000 0.000 0.000
0.500 0.500 0.500
0.000 0.500 0.238
0.500 0.000 0.738
0.000 0.000 0.528
0.000 0.500 0.778
0.500 0.000 0.278
0.500 0.500 0.028
```

Summary:
* formation energy: -0.1 eV/f.u.
* space-group type: Imm2, No. 44

=====

No. 17
An optimized crystal structure of ZrSc2Pb2. Source: Alexandria, functional PBE.

Structure (POSCAR):
```
ZrSc2Pb2
1.0
4.280 0.000 0.000
0.000 4.280 0.000
0.000 0.000 15.108
Zr Sc Pb
2 4 4
Direct
0.000 0.000 0.000
0.500 0.500 0.500
0.000 0.000 0.405
0.000 0.000 0.595
0.500 0.500 0.095
0.500 0.500 0.905
0.000 0.500 0.250
0.000 0.500 0.750
0.500 0.000 0.250
0.500 0.000 0.750
```

Summary:
* formation energy: 1.7 eV/f.u.
* space-group type: I4/mmm, No. 139

=====

No. 18
An optimized crystal structure of Sm7Ho2Th2. Source: Alexandria, functional PBE.

Structure (POSCAR):
```
Sm7Ho2Th2
1.0
5.744 -5.771 0.000
5.744 5.771 0.000
-2.334 0.000 5.577
Sm Ho Th
7 2 2
Direct
0.000 0.000 0.000
0.050 0.591 0.827
0.409 0.950 0.173
0.423 0.423 0.200
0.577 0.577 0.800
0.591 0.050 0.827
0.950 0.409 0.173
0.228 0.228 0.594
0.772 0.772 0.406
0.213 0.787 0.500
0.787 0.213 0.500
```

Summary:
* formation energy: 2.0 eV/f.u.
* space-group type: C2/m, No. 12

=====

No. 19
An optimized crystal structure of VGaAu. Source: Alexandria, functional PBE.

Structure (POSCAR):
```
VGaAu
1.0
0.000 3.723 8.428
3.617 0.000 8.428
3.617 3.723 0.000
V Ga Au
4 4 4
Direct
0.007 0.007 0.743
0.257 0.257 0.993
0.743 0.743 0.007
0.993 0.993 0.257
0.064 0.686 0.064
0.314 0.936 0.314
0.686 0.064 0.686
0.936 0.314 0.936
0.000 0.500 0.500
0.500 0.000 0.500
0.500 0.500 0.000
0.500 0.500 0.500
```

Summary:
* formation energy: 0.6 eV/f.u.
* space-group type: Fddd, No. 70

=====

No. 20
An optimized crystal structure of LiSb2P. Source: Alexandria, functional PBE.

Structure (POSCAR):
```
LiSb2P
1.0
12.034 0.000 0.000
0.000 3.689 0.000
-1.573 0.000 4.086
Li Sb P
2 4 2
Direct
0.000 0.000 0.000
0.500 0.500 0.000
0.186 0.000 0.685
0.314 0.500 0.315
0.686 0.500 0.685
0.814 0.000 0.315
0.000 0.500 0.500
0.500 0.000 0.500
```

Summary:
* space-group type: C2/m, No. 12
* formation energy (no corrections): -0.039 eV/atom